# 1
DFT (PBE-GGA) results for a geometry-optimized BaRuPt structure.

## Properties
Polymorph energy (0 for the lowest one)   1.36 kcal/mol of atoms
Total magnetization   0.00 μB/cell
E_form   -0.056 eV/atom

CIF file:
```
data_BaRuPt
_chemical_formula_sum 'Ba2 Ru2 Pt2'
_cell_length_a 5.4858
_cell_length_b 4.5449
_cell_length_c 5.8755
_cell_angle_alpha 90.00
_cell_angle_beta 104.09
_cell_angle_gamma 90.00
_symmetry_space_group_name_H-M 'P 1'
_symmetry_Int_Tables_number 1
loop_
_symmetry_equiv_pos_as_xyz
'x,y,z'
loop_
_atom_site_label
_atom_site_type_symbol
_atom_site_fract_x
_atom_site_fract_y
_atom_site_fract_z
Ba1 Ba 0.2453 0.2500 0.4416
Ba2 Ba 0.7547 0.7500 0.5584
Ru1 Ru 0.0963 0.2500 0.9373
Ru2 Ru 0.9037 0.7500 0.0627
Pt1 Pt 0.3709 0.7500 0.0063
Pt2 Pt 0.6291 0.2500 0.9937
```



# 2
DFT (PBE-GGA) results for a geometry-optimized Ba2Cd3Sn4Pb structure.

## Properties
Total magnetization   0.00 μB/cell
E_form   -0.356 eV/atom

CIF file:
```
data_Ba2Cd3Sn4Pb
_chemical_formula_sum 'Ba2 Cd3 Sn4 Pb1'
_cell_length_a 5.1271
_cell_length_b 5.1271
_cell_length_c 12.0273
_cell_angle_alpha 90.00
_cell_angle_beta 90.00
_cell_angle_gamma 90.00
_symmetry_space_group_name_H-M 'P 1'
_symmetry_Int_Tables_number 1
loop_
_symmetry_equiv_pos_as_xyz
'x,y,z'
loop_
_atom_site_label
_atom_site_type_symbol
_atom_site_fract_x
_atom_site_fract_y
_atom_site_fract_z
Ba1 Ba 0.0000 0.5000 0.2441
Ba2 Ba 0.5000 0.0000 0.7559
Cd1 Cd 0.0000 0.5000 0.8723
Cd2 Cd 0.5000 0.0000 0.1277
Cd3 Cd 0.5000 0.5000 0.5000
Sn1 Sn 0.0000 0.0000 0.0000
Sn2 Sn 0.0000 0.5000 0.6375
Sn3 Sn 0.5000 0.0000 0.3625
Sn4 Sn 0.5000 0.5000 0.0000
Pb1 Pb 0.0000 0.0000 0.5000
```



# 3
DFT (PBE-GGA) results for a geometry-optimized Zr2TaW structure.

## Properties
Polymorph energy (0 for the lowest one)   3.93 kcal/mol of atoms
Total magnetization   0.00 μB/cell
E_form   0.230 eV/atom

CIF file:
```
data_Zr2TaW
_chemical_formula_sum 'Zr2 Ta1 W1'
_cell_length_a 4.8051
_cell_length_b 4.8051
_cell_length_c 4.8051
_cell_angle_alpha 60.00
_cell_angle_beta 60.00
_cell_angle_gamma 60.00
_symmetry_space_group_name_H-M 'P 1'
_symmetry_Int_Tables_number 1
loop_
_symmetry_equiv_pos_as_xyz
'x,y,z'
loop_
_atom_site_label
_atom_site_type_symbol
_atom_site_fract_x
_atom_site_fract_y
_atom_site_fract_z
Zr1 Zr 0.2500 0.2500 0.2500
Zr2 Zr 0.7500 0.7500 0.7500
Ta1 Ta 0.0000 0.0000 0.0000
W1 W 0.5000 0.5000 0.5000
```



# 4
DFT (PBE-GGA) results for a geometry-optimized Th2MnSi4Ir3 structure.

## Properties
Formation energy from raw total energies   -0.960 eV/atom
Total magnetization   2.43 μB/cell

CIF file:
```
data_Th2MnSi4Ir3
_chemical_formula_sum 'Th2 Mn1 Si4 Ir3'
_cell_length_a 4.1629
_cell_length_b 4.1629
_cell_length_c 10.0752
_cell_angle_alpha 90.00
_cell_angle_beta 90.00
_cell_angle_gamma 90.00
_symmetry_space_group_name_H-M 'P 1'
_symmetry_Int_Tables_number 1
loop_
_symmetry_equiv_pos_as_xyz
'x,y,z'
loop_
_atom_site_label
_atom_site_type_symbol
_atom_site_fract_x
_atom_site_fract_y
_atom_site_fract_z
Th1 Th 0.0000 0.5000 0.2465
Th2 Th 0.5000 0.0000 0.7535
Mn1 Mn 0.0000 0.0000 0.5000
Si1 Si 0.0000 0.0000 0.0000
Si2 Si 0.0000 0.5000 0.6320
Si3 Si 0.5000 0.0000 0.3680
Si4 Si 0.5000 0.5000 0.0000
Ir1 Ir 0.0000 0.5000 0.8744
Ir2 Ir 0.5000 0.0000 0.1256
Ir3 Ir 0.5000 0.5000 0.5000
```



# 5
DFT (PBE-GGA) results for a geometry-optimized DyPaCO structure.

## Properties
Formation energy from raw total energies   -1.316 eV/atom
Total magnetization   0.00 μB/cell

CIF file:
```
data_DyPaCO
_chemical_formula_sum 'Dy2 Pa2 C2 O2'
_cell_length_a 4.0610
_cell_length_b 4.0610
_cell_length_c 8.4123
_cell_angle_alpha 90.00
_cell_angle_beta 90.00
_cell_angle_gamma 90.00
_symmetry_space_group_name_H-M 'P 1'
_symmetry_Int_Tables_number 1
loop_
_symmetry_equiv_pos_as_xyz
'x,y,z'
loop_
_atom_site_label
_atom_site_type_symbol
_atom_site_fract_x
_atom_site_fract_y
_atom_site_fract_z
Dy1 Dy 0.2500 0.2500 0.1194
Dy2 Dy 0.7500 0.7500 0.8806
Pa1 Pa 0.2500 0.7500 0.5000
Pa2 Pa 0.7500 0.2500 0.5000
C1 C 0.2500 0.2500 0.6570
C2 C 0.7500 0.7500 0.3430
O1 O 0.2500 0.7500 0.0000
O2 O 0.7500 0.2500 0.0000
```



# 6
DFT (PBE-GGA) results for a geometry-optimized Cu3AsOs structure.

## Properties
Polymorph energy (0 for the lowest one)   5.03 kcal/mol of atoms
Total magnetization   0.00 μB/cell
E_form   1.452 eV/atom

CIF file:
```
data_Cu3AsOs
_chemical_formula_sum 'Cu3 As1 Os1'
_cell_length_a 4.6205
_cell_length_b 4.6205
_cell_length_c 4.6205
_cell_angle_alpha 90.00
_cell_angle_beta 90.00
_cell_angle_gamma 90.00
_symmetry_space_group_name_H-M 'P 1'
_symmetry_Int_Tables_number 1
loop_
_symmetry_equiv_pos_as_xyz
'x,y,z'
loop_
_atom_site_label
_atom_site_type_symbol
_atom_site_fract_x
_atom_site_fract_y
_atom_site_fract_z
Cu1 Cu 0.0000 0.0000 0.5000
Cu2 Cu 0.0000 0.5000 0.0000
Cu3 Cu 0.5000 0.0000 0.0000
As1 As 0.5000 0.5000 0.5000
Os1 Os 0.0000 0.0000 0.0000
```



# 7
DFT (PBE-GGA) results for a geometry-optimized HoEr2Tm structure.

## Properties
Polymorph energy (0 for the lowest one)   3.36 kcal/mol of atoms
Total magnetization   0.09 μB/cell
E_form   0.143 eV/atom

CIF file:
```
data_HoEr2Tm
_chemical_formula_sum 'Ho1 Er2 Tm1'
_cell_length_a 5.5891
_cell_length_b 5.5891
_cell_length_c 5.5891
_cell_angle_alpha 60.00
_cell_angle_beta 60.00
_cell_angle_gamma 60.00
_symmetry_space_group_name_H-M 'P 1'
_symmetry_Int_Tables_number 1
loop_
_symmetry_equiv_pos_as_xyz
'x,y,z'
loop_
_atom_site_label
_atom_site_type_symbol
_atom_site_fract_x
_atom_site_fract_y
_atom_site_fract_z
Ho1 Ho 0.0000 0.0000 0.0000
Er1 Er 0.2500 0.2500 0.2500
Er2 Er 0.7500 0.7500 0.7500
Tm1 Tm 0.5000 0.5000 0.5000
```



# 8
DFT (PBE-GGA) results for a geometry-optimized K4SmHo3Te8 structure.

## Properties
Formation energy from raw total energies   -1.394 eV/atom
Total magnetization   0.00 μB/cell

CIF file:
```
data_K4SmHo3Te8
_chemical_formula_sum 'K4 Sm1 Ho3 Te8'
_cell_length_a 9.7489
_cell_length_b 9.7489
_cell_length_c 9.7489
_cell_angle_alpha 55.03
_cell_angle_beta 55.03
_cell_angle_gamma 55.03
_symmetry_space_group_name_H-M 'P 1'
_symmetry_Int_Tables_number 1
loop_
_symmetry_equiv_pos_as_xyz
'x,y,z'
loop_
_atom_site_label
_atom_site_type_symbol
_atom_site_fract_x
_atom_site_fract_y
_atom_site_fract_z
K1 K 0.0000 0.0000 0.0000
K2 K 0.0000 0.5000 0.5000
K3 K 0.5000 0.0000 0.5000
K4 K 0.5000 0.5000 0.0000
Sm1 Sm 0.5000 0.5000 0.5000
Ho1 Ho 0.0000 0.0000 0.5000
Ho2 Ho 0.0000 0.5000 0.0000
Ho3 Ho 0.5000 0.0000 0.0000
Te1 Te 0.2314 0.7390 0.7390
Te2 Te 0.2356 0.2356 0.2356
Te3 Te 0.2610 0.2610 0.7686
Te4 Te 0.2610 0.7686 0.2610
Te5 Te 0.7390 0.2314 0.7390
Te6 Te 0.7390 0.7390 0.2314
Te7 Te 0.7644 0.7644 0.7644
Te8 Te 0.7686 0.2610 0.2610
```



# 9
DFT (PBE-GGA) results for a geometry-optimized SrYPd2 structure.

## Properties
Polymorph energy (0 for the lowest one)   8.63 kcal/mol of atoms
Total magnetization   0.00 μB/cell
E_form   -0.378 eV/atom

CIF file:
```
data_SrYPd2
_chemical_formula_sum 'Sr2 Y2 Pd4'
_cell_length_a 6.4731
_cell_length_b 6.4731
_cell_length_c 6.4731
_cell_angle_alpha 105.65
_cell_angle_beta 105.65
_cell_angle_gamma 117.41
_symmetry_space_group_name_H-M 'P 1'
_symmetry_Int_Tables_number 1
loop_
_symmetry_equiv_pos_as_xyz
'x,y,z'
loop_
_atom_site_label
_atom_site_type_symbol
_atom_site_fract_x
_atom_site_fract_y
_atom_site_fract_z
Sr1 Sr 0.0000 0.0000 0.0000
Sr2 Sr 0.7500 0.2500 0.5000
Y1 Y 0.2500 0.7500 0.5000
Y2 Y 0.5000 0.5000 0.0000
Pd1 Pd 0.1477 0.1250 0.5227
Pd2 Pd 0.3750 0.8523 0.9773
Pd3 Pd 0.6023 0.6250 0.4773
Pd4 Pd 0.8750 0.3977 0.0227
```



# 10
DFT (PBE-GGA) results for a geometry-optimized YNpBeO6 structure.

## Properties
Formation energy from raw total energies   -2.698 eV/atom
Total magnetization   0.00 μB/cell

CIF file:
```
data_YNpBeO6
_chemical_formula_sum 'Y2 Np2 Be2 O12'
_cell_length_a 5.0825
_cell_length_b 5.0825
_cell_length_c 9.9756
_cell_angle_alpha 90.00
_cell_angle_beta 90.00
_cell_angle_gamma 120.00
_symmetry_space_group_name_H-M 'P 1'
_symmetry_Int_Tables_number 1
loop_
_symmetry_equiv_pos_as_xyz
'x,y,z'
loop_
_atom_site_label
_atom_site_type_symbol
_atom_site_fract_x
_atom_site_fract_y
_atom_site_fract_z
Y1 Y 0.0000 0.0000 0.0000
Y2 Y 0.0000 0.0000 0.5000
Np1 Np 0.3333 0.6667 0.2500
Np2 Np 0.6667 0.3333 0.7500
Be1 Be 0.3333 0.6667 0.7500
Be2 Be 0.6667 0.3333 0.2500
O1 O 0.0190 0.3673 0.6421
O2 O 0.0190 0.6517 0.8579
O3 O 0.3483 0.3673 0.8579
O4 O 0.3483 0.9810 0.6421
O5 O 0.3673 0.0190 0.1421
O6 O 0.3673 0.3483 0.3579
O7 O 0.6327 0.6517 0.6421
O8 O 0.6327 0.9810 0.8579
O9 O 0.6517 0.0190 0.3579
O10 O 0.6517 0.6327 0.1421
O11 O 0.9810 0.3483 0.1421
O12 O 0.9810 0.6327 0.3579
```



# 11
DFT (PBE-GGA) results for a geometry-optimized Tm4CdGa2Rh structure.

## Properties
Total magnetization   0.00 μB/cell
E_form   -0.604 eV/atom

CIF file:
```
data_Tm4CdGa2Rh
_chemical_formula_sum 'Tm4 Cd1 Ga2 Rh1'
_cell_length_a 8.6298
_cell_length_b 8.6298
_cell_length_c 8.6298
_cell_angle_alpha 33.72
_cell_angle_beta 33.72
_cell_angle_gamma 33.72
_symmetry_space_group_name_H-M 'P 1'
_symmetry_Int_Tables_number 1
loop_
_symmetry_equiv_pos_as_xyz
'x,y,z'
loop_
_atom_site_label
_atom_site_type_symbol
_atom_site_fract_x
_atom_site_fract_y
_atom_site_fract_z
Tm1 Tm 0.1171 0.1171 0.1171
Tm2 Tm 0.3694 0.3694 0.3694
Tm3 Tm 0.6306 0.6306 0.6306
Tm4 Tm 0.8829 0.8829 0.8829
Cd1 Cd 0.5000 0.5000 0.5000
Ga1 Ga 0.2448 0.2448 0.2448
Ga2 Ga 0.7552 0.7552 0.7552
Rh1 Rh 0.0000 0.0000 0.0000
```



# 12
DFT (PBE-GGA) results for a geometry-optimized Sr2Cd2Pd5Pb structure.

## Properties
Total magnetization   0.00 μB/cell
E_form   -0.448 eV/atom

CIF file:
```
data_Sr2Cd2Pd5Pb
_chemical_formula_sum 'Sr4 Cd4 Pd10 Pb2'
_cell_length_a 10.5243
_cell_length_b 10.5243
_cell_length_c 3.9121
_cell_angle_alpha 90.00
_cell_angle_beta 90.00
_cell_angle_gamma 90.00
_symmetry_space_group_name_H-M 'P 1'
_symmetry_Int_Tables_number 1
loop_
_symmetry_equiv_pos_as_xyz
'x,y,z'
loop_
_atom_site_label
_atom_site_type_symbol
_atom_site_fract_x
_atom_site_fract_y
_atom_site_fract_z
Sr1 Sr 0.1745 0.3255 0.0000
Sr2 Sr 0.3255 0.8255 0.0000
Sr3 Sr 0.6745 0.1745 0.0000
Sr4 Sr 0.8255 0.6745 0.0000
Cd1 Cd 0.1242 0.6242 0.0000
Cd2 Cd 0.3758 0.1242 0.0000
Cd3 Cd 0.6242 0.8758 0.0000
Cd4 Cd 0.8758 0.3758 0.0000
Pd1 Pd 0.0000 0.5000 0.5000
Pd2 Pd 0.0603 0.8005 0.5000
Pd3 Pd 0.1995 0.0603 0.5000
Pd4 Pd 0.3005 0.5603 0.5000
Pd5 Pd 0.4397 0.3005 0.5000
Pd6 Pd 0.5000 0.0000 0.5000
Pd7 Pd 0.5603 0.6995 0.5000
Pd8 Pd 0.6995 0.4397 0.5000
Pd9 Pd 0.8005 0.9397 0.5000
Pd10 Pd 0.9397 0.1995 0.5000
Pb1 Pb 0.0000 0.0000 0.0000
Pb2 Pb 0.5000 0.5000 0.0000
```



Q: Look up the total magnetization of the eleventh one.
A: 0.00 μB/cell